No. 1
Compound: Pd5Se2
Source: the Alexandria database
Functional: PBE
Structure: optimized geometry

## Properties
Magnetic moment ... 0.00 μB/f.u.
ΔE_f (raw) ... -0.1804 eV per atom

```
14
Lattice="6.954 -3.036 0.000 6.954 3.036 0.000 -0.317 0.000 5.559" Properties=species:S:1:pos:R:3 pbc="T T T"
Pd 2.978 0.992 1.409
Pd 6.716 2.090 4.170
Pd 5.538 0.290 0.277
Pd 2.820 -0.992 4.189
Pd 5.379 -0.290 3.056
Pd 8.212 0.290 2.503
Pd 10.771 0.992 1.370
Pd 8.053 -0.290 5.283
Pd 6.875 -2.090 1.390
Pd 10.613 -0.992 4.150
Se 5.226 2.013 2.041
Se 8.523 2.013 0.739
Se 5.067 -2.013 4.820
Se 8.365 -2.013 3.519
```

No. 2
Compound: Rb2LiTcI6
Source: the Alexandria database
Functional: PBE
Structure: optimized geometry

## Properties
Magnetic moment ... 2.00 μB/f.u.
ΔE_f (raw) ... -0.7736 eV per atom
Offset from the most stable computed form ... 0.34 eV per formula unit

```
10
Lattice="0.000 5.765 5.765 5.765 0.000 5.765 5.765 5.765 0.000" Properties=species:S:1:pos:R:3 pbc="T T T"
Rb 2.882 2.882 2.882
Rb 8.647 8.647 8.647
Li 0.000 0.000 0.000
Tc 5.765 5.765 5.765
I 5.765 5.765 3.001
I 5.765 3.001 5.765
I 8.529 5.765 5.765
I 3.001 5.765 5.765
I 5.765 8.529 5.765
I 5.765 5.765 8.529
```

No. 3
Compound: LiTlAs2
Source: the Alexandria database
Functional: PBE
Structure: optimized geometry

## Properties
Magnetic moment ... 0.00 μB/f.u.
Formation energy from the elements ... -219 meV per atom

```
4
Lattice="4.525 -1.818 0.000 4.525 1.818 0.000 -1.329 0.000 5.794" Properties=species:S:1:pos:R:3 pbc="T T T"
Li 0.000 0.000 0.000
Tl 3.860 0.000 2.897
As 1.186 0.000 4.939
As 6.535 0.000 0.855
```

No. 4
Compound: CrTe8Au2
Source: the Alexandria database
Functional: PBE
Structure: optimized geometry

## Properties
Magnetic moment ... 2.95 μB/f.u.
ΔE_f (raw) ... 0.0767 eV per atom

```
11
Lattice="5.429 -4.144 0.000 5.429 4.144 0.000 -0.218 0.000 7.204" Properties=species:S:1:pos:R:3 pbc="T T T"
Cr 0.000 0.000 0.000
Te 3.699 1.888 6.348
Te 1.386 0.000 5.088
Te 6.942 1.888 0.856
Te 4.687 0.000 2.370
Te 5.953 0.000 4.834
Te 3.699 -1.888 6.348
Te 9.254 0.000 2.116
Te 6.942 -1.888 0.856
Au 1.733 0.000 2.396
Au 8.907 0.000 4.808
```

No. 5
Compound: BaY2Mo
Source: the Alexandria database
Functional: PBE
Structure: optimized geometry

## Properties
Magnetic moment ... 0.00 μB/f.u.
Formation energy from the elements ... 673 meV per atom
Offset from the most stable computed form ... 1.33 eV per formula unit

```
4
Lattice="0.000 3.825 3.825 3.825 0.000 3.825 3.825 3.825 0.000" Properties=species:S:1:pos:R:3 pbc="T T T"
Ba 0.000 0.000 0.000
Y 1.913 1.913 1.913
Y 5.738 5.738 5.738
Mo 3.825 3.825 3.825
```

No. 6
Compound: NbSb3Br
Source: the Alexandria database
Functional: PBE
Structure: optimized geometry

## Properties
Magnetic moment ... 2.29 μB/f.u.
ΔE_f (raw) ... 1.3284 eV per atom
Offset from the most stable computed form ... 6.02 eV per formula unit

```
5
Lattice="5.352 0.000 0.000 0.000 5.352 0.000 0.000 0.000 5.352" Properties=species:S:1:pos:R:3 pbc="T T T"
Nb 0.000 0.000 0.000
Sb 0.000 2.676 2.676
Sb 2.676 0.000 2.676
Sb 2.676 2.676 0.000
Br 2.676 2.676 2.676
```

No. 7
Compound: RbHfRuI2
Source: the Alexandria database
Functional: PBE
Structure: optimized geometry

## Properties
Magnetic moment ... 1.05 μB/f.u.
ΔE_f (raw) ... 0.0655 eV per atom

```
5
Lattice="5.978 0.000 0.000 0.000 5.978 0.000 0.000 0.000 4.873" Properties=species:S:1:pos:R:3 pbc="T T T"
Rb 0.000 0.000 0.000
Hf 2.989 2.989 2.436
Ru 2.989 2.989 0.000
I 0.000 2.989 2.436
I 2.989 0.000 2.436
```